Version i
A plane-wave DFT calculation with GGA-PBE was carried out for TiTl3O after structural relaxation.

The structure in POSCAR format:
```
TiTl3O
1.0
4.921 0.000 0.000
0.000 4.921 0.000
0.000 0.000 4.921
Ti Tl O
1 3 1
Cartesian
0.000 0.000 0.000 Ti
0.000 2.460 2.460 Tl
2.460 0.000 2.460 Tl
2.460 2.460 0.000 Tl
2.460 2.460 2.460 O
```

Output
Magnetization in μB per formula unit: 2.00
Space-group type: Pm-3m (221)
ρ in g cm⁻³: 9.43

Version ii
A plane-wave DFT calculation with GGA-PBE was carried out for TiTl3O after structural relaxation.

The structure in POSCAR format:
```
TiTl3O
1.0
5.493 0.000 0.000
0.000 5.493 0.000
0.000 0.000 5.493
Ti Tl O
1 3 1
Cartesian
0.000 0.000 0.000 Ti
0.000 0.000 2.746 Tl
0.000 2.746 0.000 Tl
2.746 0.000 0.000 Tl
2.746 2.746 2.746 O
```

Output
Magnetization in μB per formula unit: 3.83
Space-group type: Pm-3m (221)
ρ in g cm⁻³: 6.78

What should be chosen as the least stable of them? Choose version ii.